VASP calculation (GGA-PBE) on crystalline AlTl2W at its relaxed geometry.

**ΔE_f**: 0.84 eV per atom
**Volume**: 20.056 Å³ per atom
**Total DFT energy (no corrections)**: -4.52 eV/atom

Unit cell a=4.2054 b=4.2054 c=9.0722 alpha=90.00 beta=90.00 gamma=90.00
Space group I-4m2 (No. 119)
One atom of each set of equivalent atoms:
Al 0.0000 0.0000 0.0000 (multiplicity 2)
Tl 0.0000 0.0000 0.5000 (multiplicity 2)
Tl 0.0000 0.5000 0.7500 (multiplicity 2)
W 0.0000 0.5000 0.2500 (multiplicity 2)